4
Lattice="4.125 0.000 0.000 0.000 4.125 0.000 0.000 0.000 6.353" Properties=species:S:1:pos:R:3 comment="Ce2HfSn, relaxed, DFT PBE-GGA" e_form_mev_per_atom=-147 polymorph_energy_kj_per_mol_atoms=15.2 pbc="T T T"
Ce 0.000 0.000 1.462
Ce 0.000 0.000 4.891
Hf 2.062 2.062 3.176
Sn 2.062 2.062 0.000

---

12
Lattice="3.654 0.000 0.000 -1.827 3.165 0.000 0.000 0.000 26.457" Properties=species:S:1:pos:R:3 comment="Ce2ErFe, relaxed, DFT PBE-GGA" e_form_mev_per_atom=104 polymorph_energy_kj_per_mol_atoms=17.4 pbc="T T T"
Ce 0.000 0.000 5.969
Ce 0.000 0.000 20.488
Ce 0.000 2.110 11.669
Ce 0.000 2.110 23.607
Ce 1.827 1.055 2.850
Ce 1.827 1.055 14.788
Er 0.000 0.000 0.000
Er 0.000 2.110 17.638
Er 1.827 1.055 8.819
Fe 0.000 0.000 13.228
Fe 0.000 2.110 4.409
Fe 1.827 1.055 22.047

---

12
Lattice="7.541 -4.349 0.000 7.541 4.349 0.000 -0.329 0.000 6.556" Properties=species:S:1:pos:R:3 comment="CaPb3Br6Cl2, relaxed, DFT PBE-GGA" e_form_raw_ev_per_atom=-1.242 pbc="T T T"
Ca 0.000 0.000 0.000
Pb 3.770 2.175 0.000
Pb 3.770 -2.175 0.000
Pb 7.376 0.000 3.278
Br 2.069 0.000 4.936
Br 6.009 2.240 4.899
Br 8.744 2.240 1.657
Br 6.009 -2.240 4.899
Br 8.744 -2.240 1.657
Br 12.684 0.000 1.621
Cl 4.958 0.000 1.594
Cl 9.794 0.000 4.963

---

20
Lattice="5.267 -8.936 0.000 5.267 8.936 0.000 0.000 0.000 5.928" Properties=species:S:1:pos:R:3 comment="Sm3ErSc6, relaxed, DFT PBE-GGA" e_form_mev_per_atom=165 pbc="T T T"
Sm 5.267 7.370 2.964
Sm 3.406 1.848 5.360
Sm 3.406 -1.848 2.395
Sm 7.129 1.848 5.360
Sm 7.129 -1.848 2.395
Sm 5.267 -7.370 0.000
Er 5.267 4.021 3.665
Er 5.267 -4.021 0.701
Sc 2.896 3.930 1.681
Sc 1.938 1.052 2.561
Sc 5.267 5.483 0.392
Sc 1.938 -1.052 5.525
Sc 5.267 1.035 2.289
Sc 2.896 -3.930 4.645
Sc 7.639 3.930 1.681
Sc 5.267 -1.035 5.253
Sc 8.597 1.052 2.561
Sc 5.267 -5.483 3.356
Sc 8.597 -1.052 5.525
Sc 7.639 -3.930 4.645

---

8
Lattice="5.188 0.000 0.000 0.000 5.387 0.000 0.000 0.000 10.521" Properties=species:S:1:pos:R:3 comment="AgBr3, relaxed, DFT PBE-GGA" e_form_raw_ev_per_atom=-0.103 pbc="T T T"
Ag 1.297 1.347 0.833
Ag 3.891 4.041 9.688
Br 0.019 4.041 6.958
Br 1.297 4.041 0.362
Br 2.575 4.041 6.958
Br 2.613 1.347 3.563
Br 3.891 1.347 10.159
Br 5.169 1.347 3.563

---

12
Lattice="5.243 0.000 0.000 -2.622 4.541 0.000 0.000 0.000 12.763" Properties=species:S:1:pos:R:3 comment="Pm2GdCo, relaxed, DFT PBE-GGA" e_form_mev_per_atom=337 pbc="T T T"
Pm 0.000 0.000 3.183
Pm 0.000 0.000 9.580
Pm 0.000 3.027 5.325
Pm 0.000 3.027 11.692
Pm 2.622 1.514 1.071
Pm 2.622 1.514 7.437
Gd 0.000 0.000 6.381
Gd 0.000 3.027 2.127
Gd 2.622 1.514 10.636
Co 0.000 0.000 0.000
Co 0.000 3.027 8.508
Co 2.622 1.514 4.254

---

20
Lattice="10.637 0.000 0.000 0.000 10.637 0.000 0.000 0.000 4.501" Properties=species:S:1:pos:R:3 comment="Li2Nd2ErMg5, relaxed, DFT PBE-GGA" e_form_mev_per_atom=-45 pbc="T T T"
Li 1.208 4.111 0.000
Li 4.111 9.429 0.000
Li 6.527 1.208 0.000
Li 9.429 6.527 0.000
Nd 1.929 7.247 0.000
Nd 3.390 1.929 0.000
Nd 7.247 8.709 0.000
Nd 8.709 3.390 0.000
Er 0.000 0.000 0.000
Er 5.319 5.319 0.000
Mg 0.000 5.319 2.250
Mg 0.655 2.270 2.250
Mg 2.270 9.982 2.250
Mg 3.048 4.664 2.250
Mg 4.664 7.589 2.250
Mg 5.319 0.000 2.250
Mg 5.974 3.048 2.250
Mg 7.589 5.974 2.250
Mg 8.367 0.655 2.250
Mg 9.982 8.367 2.250

---

14
Lattice="2.118 -7.619 0.000 2.118 7.619 0.000 0.000 0.000 14.620" Properties=species:S:1:pos:R:3 comment="ScTe4Pb2, relaxed, DFT PBE-GGA" e_form_raw_ev_per_atom=-0.510 pbc="T T T"
Sc 2.118 5.827 10.965
Sc 2.118 -5.827 3.655
Te 0.000 0.000 0.000
Te 0.000 0.000 7.310
Te 2.118 3.172 1.975
Te 2.118 3.172 5.335
Te 2.118 0.262 10.965
Te 2.118 -0.262 3.655
Te 2.118 -3.172 9.284
Te 2.118 -3.172 12.645
Pb 2.118 2.037 8.361
Pb 2.118 2.037 13.569
Pb 2.118 -2.037 1.051
Pb 2.118 -2.037 6.259

---

12
Lattice="4.714 0.000 0.000 0.000 7.139 0.000 -2.348 0.000 7.080" Properties=species:S:1:pos:R:3 comment="DyHo5Ir6, relaxed, DFT PBE-GGA" e_form_mev_per_atom=-845 pbc="T T T"
Dy 0.000 0.000 0.000
Ho 0.000 3.569 0.000
Ho 0.006 0.000 4.718
Ho 0.006 3.569 4.719
Ho 2.360 0.000 2.362
Ho 2.360 3.569 2.361
Ir 0.003 1.787 2.363
Ir 0.003 5.351 2.363
Ir 2.357 1.790 0.000
Ir 2.357 5.349 0.000
Ir 2.363 1.787 4.717
Ir 2.363 5.351 4.717

---

5
Lattice="5.401 0.000 0.000 0.000 5.401 0.000 0.000 0.000 5.401" Properties=species:S:1:pos:R:3 comment="RbInAs3, relaxed, DFT PBE-GGA" e_form_mev_per_atom=406 polymorph_energy_kj_per_mol_atoms=0.0 pbc="T T T"
Rb 0.000 0.000 0.000
In 2.701 2.701 2.701
As 0.000 2.701 2.701
As 2.701 0.000 2.701
As 2.701 2.701 0.000

---

6
Lattice="0.000 4.182 4.182 4.182 0.000 4.182 4.182 4.182 0.000" Properties=species:S:1:pos:R:3 comment="BaEuAu4, relaxed, DFT PBE-GGA" e_form_mev_per_atom=-513 pbc="T T T"
Ba 0.000 0.000 0.000
Eu 6.273 6.273 6.273
Au 3.143 3.143 3.143
Au 5.221 5.221 3.143
Au 5.221 3.143 5.221
Au 3.143 5.221 5.221

---

8
Lattice="3.349 0.000 0.000 0.000 5.149 0.000 0.000 0.000 10.909" Properties=species:S:1:pos:R:3 comment="LaW, relaxed, DFT PBE-GGA" e_form_mev_per_atom=539 polymorph_energy_kj_per_mol_atoms=18.8 pbc="T T T"
La 0.000 1.287 1.870
La 0.000 3.862 9.039
La 1.674 1.287 9.039
La 1.674 3.862 1.870
W 0.000 1.287 6.423
W 0.000 3.862 4.486
W 1.674 1.287 4.486
W 1.674 3.862 6.423

---

6
Lattice="0.000 3.731 3.731 3.731 0.000 3.731 3.731 3.731 0.000" Properties=species:S:1:pos:R:3 comment="YCu2, relaxed, DFT PBE-GGA" e_form_mev_per_atom=-161 pbc="T T T"
Y 0.933 0.933 0.933
Y 6.529 6.529 6.529
Cu 3.731 1.866 1.866
Cu 1.866 3.731 1.866
Cu 1.866 1.866 3.731
Cu 3.731 3.731 3.731

---

14
Lattice="4.863 -2.761 0.000 4.863 2.761 0.000 -2.028 0.000 9.665" Properties=species:S:1:pos:R:3 comment="Li5InAg, relaxed, DFT PBE-GGA" e_form_mev_per_atom=-140 polymorph_energy_kj_per_mol_atoms=0.0 pbc="T T T"
Li 0.917 0.512 6.622
Li 3.342 1.672 7.249
Li 1.448 0.290 9.333
Li 1.931 -0.512 1.789
Li 2.462 -0.290 4.500
Li 5.237 0.290 5.165
Li 5.767 0.512 7.876
Li 6.251 -0.290 0.332
Li 4.356 -1.672 2.416
Li 6.781 -0.512 3.043
In 4.356 1.065 2.416
In 3.342 -1.065 7.249
Ag 0.000 0.000 0.000
Ag -1.014 0.000 4.832

---

5
Lattice="4.569 0.000 0.000 0.000 4.569 0.000 0.000 0.000 4.919" Properties=species:S:1:pos:R:3 comment="P2RhSBr, relaxed, DFT PBE-GGA" polymorph_energy_kj_per_mol_atoms=0.0 e_form_raw_ev_per_atom=0.638 pbc="T T T"
P 0.000 2.284 0.000
P 2.284 0.000 0.000
Rh 0.000 0.000 0.000
S 0.000 0.000 2.459
Br 2.284 2.284 2.459

---

5
Lattice="5.986 0.000 0.000 0.000 5.986 0.000 0.000 0.000 5.986" Properties=species:S:1:pos:R:3 comment="InHg3Cl, relaxed, DFT PBE-GGA" polymorph_energy_kj_per_mol_atoms=42.4 e_form_raw_ev_per_atom=0.182 pbc="T T T"
In 0.000 0.000 0.000
Hg 0.000 2.993 2.993
Hg 2.993 0.000 2.993
Hg 2.993 2.993 0.000
Cl 2.993 2.993 2.993

---

5
Lattice="5.882 0.000 0.000 0.000 5.882 0.000 0.000 0.000 5.882" Properties=species:S:1:pos:R:3 comment="CaAgPb3, relaxed, DFT PBE-GGA" e_form_mev_per_atom=725 polymorph_energy_kj_per_mol_atoms=58.7 pbc="T T T"
Ca 0.000 0.000 0.000
Ag 2.941 2.941 2.941
Pb 0.000 0.000 2.941
Pb 0.000 2.941 0.000
Pb 2.941 0.000 0.000

---

16
Lattice="7.007 0.000 0.000 0.000 7.007 0.000 0.000 0.000 7.007" Properties=species:S:1:pos:R:3 comment="TbTmSiPd, relaxed, DFT PBE-GGA" polymorph_energy_kj_per_mol_atoms=10.5 e_form_raw_ev_per_atom=-0.733 pbc="T T T"
Tb 0.000 0.000 0.000
Tb 0.000 3.504 3.504
Tb 3.504 0.000 3.504
Tb 3.504 3.504 0.000
Tm 0.000 0.000 3.504
Tm 0.000 3.504 0.000
Tm 3.504 0.000 0.000
Tm 3.504 3.504 3.504
Si 1.752 1.752 1.752
Si 1.752 5.256 5.256
Si 5.256 1.752 5.256
Si 5.256 5.256 1.752
Pd 1.752 1.752 5.256
Pd 1.752 5.256 1.752
Pd 5.256 1.752 1.752
Pd 5.256 5.256 5.256

---

12
Lattice="9.836 -2.268 0.000 9.836 2.268 0.000 -1.917 0.000 6.353" Properties=species:S:1:pos:R:3 comment="NdTl4F7, relaxed, DFT PBE-GGA" e_form_raw_ev_per_atom=-2.493 pbc="T T T"
Nd 0.000 0.000 0.000
Tl 4.168 0.000 5.146
Tl 7.145 0.000 2.761
Tl 10.611 0.000 3.592
Tl 13.587 0.000 1.206
F -0.105 0.000 4.947
F 1.454 0.000 1.780
F 5.201 0.000 1.166
F 9.836 0.000 0.000
F 12.554 0.000 5.186
F 16.301 0.000 4.573
F 17.860 0.000 1.405

---

16
Lattice="6.479 0.000 0.000 0.000 6.479 0.000 0.000 0.000 4.698" Properties=species:S:1:pos:R:3 comment="ScCo2N, relaxed, DFT PBE-GGA" e_form_raw_ev_per_atom=-0.272 pbc="T T T"
Sc 0.000 0.000 0.000
Sc 0.000 3.240 1.175
Sc 3.240 0.000 3.524
Sc 3.240 3.240 2.349
Co 0.671 1.620 2.936
Co 1.620 3.911 4.111
Co 1.620 5.808 1.762
Co 2.568 1.620 0.587
Co 3.911 4.859 0.587
Co 4.859 0.671 1.762
Co 4.859 2.568 4.111
Co 5.808 4.859 2.936
N 0.000 0.000 2.349
N 0.000 3.240 3.524
N 3.240 0.000 1.175
N 3.240 3.240 0.000

---

For reference, size of the total moment by record: 2.73, 0.00, 0.00, 0.00, 0.00, 21.28, 0.00, 0.00, 0.00, 0.00, 7.50, 0.00, 0.00, 0.00, 0.00, 0.00, 0.00, 0.00, 0.00, 3.51 μB/cell.